[1]
Computed, not measured: a geometry-optimized Ac3Te2P structure at the PBE-GGA level of DFT.

Unit cell a=4.538 b=6.545 c=8.165 alpha=113.63 beta=106.13 gamma=90.00
Fractional coordinates of all 6 atoms:
1 Ac 0.500 0.000 0.500
2 Ac 0.855 0.355 0.210
3 Ac 0.145 0.645 0.790
4 Te 0.174 0.174 0.848
5 Te 0.826 0.826 0.152
6 P 0.500 0.500 0.500

Output
**Crystal system**: orthorhombic
**Relative energy among the computed polymorphs**: 0.00 eV per formula unit
**Formation energy without anion corrections**: -1.527 eV per atom
**Total magnetization**: 0.00 μB/atom
**Space-group type**: No. 71

***

[2]
Computed, not measured: a geometry-optimized Ga2ReH structure at the PBE-GGA level of DFT.

Unit cell a=4.715 b=4.715 c=6.115 alpha=67.32 beta=67.32 gamma=90.00
Site moments in Bohr magnetons follow the coordinates.
Fractional coordinates of all 8 atoms:
1 Ga 0.875 0.727 0.750  -0.01
2 Ga 0.273 0.625 0.250  -0.01
3 Ga 0.477 0.125 0.250  -0.01
4 Ga 0.375 0.523 0.750  -0.01
5 Re 0.000 0.000 0.000  0.86
6 Re 0.750 0.250 0.500  0.84
7 H 0.250 0.750 0.500  0.01
8 H 0.500 0.500 0.000  0.01

Output
**Crystal system**: tetragonal
**Relative energy among the computed polymorphs**: 0.27 eV per formula unit
**Total magnetization**: 0.24 μB/atom
**Space-group type**: No. 122

***

[3]
Computed, not measured: a geometry-optimized InH2I structure at the PBE-GGA level of DFT.

Unit cell a=6.074 b=6.074 c=6.080 alpha=60.03 beta=60.03 gamma=90.00
Fractional coordinates of all 8 atoms:
1 H 0.875 0.625 0.750
2 H 0.375 0.625 0.250
3 H 0.375 0.625 0.750
4 H 0.375 0.125 0.250
5 In 0.500 0.500 0.000
6 In 0.250 0.750 0.500
7 I 0.000 0.000 0.000
8 I 0.750 0.250 0.500

Output
**Crystal system**: tetragonal
**Relative energy among the computed polymorphs**: 1.08 eV per formula unit
**Total magnetization**: 0.00 μB/atom
**Space-group type**: No. 141

***

[4]
Computed, not measured: a geometry-optimized PrErAu2 structure at the PBE-GGA level of DFT.

Unit cell a=5.182 b=5.182 c=5.182 alpha=60.00 beta=60.00 gamma=60.00
Fractional coordinates of all 4 atoms:
1 Au 0.750 0.750 0.750
2 Au 0.250 0.250 0.250
3 Pr 0.500 0.500 0.500
4 Er 0.000 0.000 0.000

Output
**Crystal system**: cubic
**Relative energy among the computed polymorphs**: 0.15 eV per formula unit
**Formation enthalpy at 0 K**: -3.143 eV per formula unit
**Total magnetization**: 0.00 μB/atom
**Space-group type**: No. 225

***

[5]
Computed, not measured: a geometry-optimized InSnRu2I structure at the PBE-GGA level of DFT.

Unit cell a=5.042 b=5.924 c=5.042 alpha=90.00 beta=90.00 gamma=90.00
Site moments in Bohr magnetons follow the coordinates.
Fractional coordinates of all 5 atoms:
1 Ru 0.000 0.000 0.500  1.78
2 Ru 0.500 0.000 0.000  1.52
3 Sn 0.500 0.500 0.500  -0.13
4 I 0.000 0.500 0.000  0.05
5 In 0.000 0.000 0.000  -0.06

Output
**Crystal system**: tetragonal
**Formation energy without anion corrections**: 1.584 eV per atom
**Total magnetization**: 0.67 μB/atom
**Space-group type**: No. 123

***

[6]
Computed, not measured: a geometry-optimized Cs2CaPBr6 structure at the PBE-GGA level of DFT.

Unit cell a=7.767 b=7.767 c=8.373 alpha=62.37 beta=62.37 gamma=90.00
Site moments in Bohr magnetons follow the coordinates.
Fractional coordinates of all 10 atoms:
1 Br 0.777 0.777 0.446  0.03
2 Br 0.267 0.267 0.000  0.02
3 Br 0.733 0.733 0.000  0.02
4 Br 0.733 0.267 0.000  0.02
5 Br 0.267 0.733 0.000  0.02
6 Br 0.223 0.223 0.554  0.03
7 P 0.500 0.500 0.000  0.38
8 Cs 0.250 0.750 0.500  0.00
9 Cs 0.750 0.250 0.500  0.00
10 Ca 0.000 0.000 0.000  0.00

Output
**Crystal system**: tetragonal
**Formation energy without anion corrections**: -1.276 eV per atom
**Total magnetization**: 0.10 μB/atom
**Space-group type**: No. 139